A plane-wave DFT calculation with PBE-GGA was carried out for a geometry-optimized Sn4TeAsSe2 structure.

E_form (uncorrected) in eV per atom: -0.262
Electronic total energy in eV/atom: -4.1085
Space-group type: P2/m, No. 10

a b c (Å): 4.2700 7.4175 7.4669
angles (deg): 70.67 90.00 90.00
Last column: nearest neighbours and their distance in Å.
Fractional positions:
As 0.5000 0.5000 0.0000  6 Sn 2.97-2.98
Sn 0.0000 0.2558 0.2346  2 As 2.97, 3 Se 2.98-3.10, 1 Te 3.10
Sn 0.0000 0.7442 0.7654  2 As 2.97, 3 Se 2.98-3.10, 1 Te 3.10
Sn 0.5000 0.7560 0.2350  3 Se 2.97-3.09, 1 As 2.98, 2 Te 3.10
Sn 0.5000 0.2440 0.7650  3 Se 2.97-3.09, 1 As 2.98, 2 Te 3.10
Te 0.0000 0.5000 0.5000  6 Sn 3.10
Se 0.0000 0.0000 0.0000  6 Sn 2.97-2.98
Se 0.5000 0.0000 0.5000  6 Sn 3.09-3.10